[1]
VASP calculation (PBE) on a relaxed ReMoAu crystal.

ΔE_f: 32.7 kJ per mole of atoms
spin magnetization: 0.000 μB per atom
V: 16.48 Å³/atom
relative energy among the computed polymorphs: 0.1332 eV/atom

Cell lengths 7.2632, 7.0889, 2.7536 Å; angles 82.52, 75.40, 22.08 degrees
With the nearest neighbours (Å) after each atom.
Atoms (fractional coordinates):
Au: 0.9994 0.9994 0.0006  4 Au 2.75, 2 Mo 2.90, 2 Re 2.92
Mo: 0.3243 0.3243 0.6757  2 Re 2.59, 4 Mo 2.75, 2 Au 2.90
Re: 0.6763 0.6763 0.3237  2 Mo 2.59, 4 Re 2.75


[2]
VASP calculation (PBE) on a relaxed ReMo2Au crystal.

ΔE_f: 75.1 kJ per mole of atoms
spin magnetization: 0.000 μB per atom
V: 17.86 Å³/atom
relative energy among the computed polymorphs: 0.5960 eV/atom

Cell lengths 7.2488, 7.2488, 5.8020 Å; angles 51.34, 51.34, 90.00 degrees
With the nearest neighbours (Å) after each atom.
Atoms (fractional coordinates):
Re: 0.5000 0.5000 0.0000  4 Mo 2.48, 2 Au 2.72
Re: 0.2500 0.7500 0.5000  4 Mo 2.48, 2 Au 2.72
Mo: 0.5897 0.1250 0.2500  2 Re 2.48, 2 Mo 2.77
Mo: 0.1603 0.6250 0.2500  2 Re 2.48, 2 Mo 2.77
Mo: 0.3750 0.4103 0.7500  2 Re 2.48, 2 Mo 2.77
Mo: 0.8750 0.8397 0.7500  2 Re 2.48, 2 Mo 2.77
Au: 0.0000 0.0000 0.0000  2 Re 2.72, 4 Mo 2.83
Au: 0.7500 0.2500 0.5000  2 Re 2.72, 4 Mo 2.83


[3]
VASP calculation (PBE) on a relaxed ReMoAu crystal.

ΔE_f: 34.7 kJ per mole of atoms
spin magnetization: 0.000 μB per atom
V: 16.25 Å³/atom
relative energy among the computed polymorphs: 0.1540 eV/atom

Cell lengths 6.4157, 6.4157, 6.4157 Å; angles 154.53, 154.53, 36.32 degrees
With the nearest neighbours (Å) after each atom.
Atoms (fractional coordinates):
Au: 0.0006 0.0006 0.0000  4 Au 2.83, 4 Re 2.92, 4 Mo 2.94
Mo: 0.3238 0.3238 0.0000  4 Re 2.70, 4 Mo 2.83, 4 Au 2.94
Re: 0.6755 0.6755 0.0000  4 Mo 2.70, 4 Re 2.83, 4 Au 2.92


[4]
VASP calculation (PBE) on a relaxed Re4MoAu crystal.

ΔE_f: 39.7 kJ per mole of atoms
spin magnetization: 0.000 μB per atom
V: 16.32 Å³/atom

Cell lengths 5.1732, 5.1732, 5.1732 Å; angles 60.00, 60.00, 60.00 degrees
With the nearest neighbours (Å) after each atom.
Atoms (fractional coordinates):
Re: 0.6242 0.6242 0.1274  6 Re 2.57-2.60
Re: 0.6242 0.1274 0.6242  6 Re 2.57-2.60
Re: 0.6242 0.6242 0.6242  6 Re 2.57-2.60
Re: 0.1274 0.6242 0.6242  6 Re 2.57-2.60
Mo: 0.0000 0.0000 0.0000  12 Re 3.03, 4 Au 3.17
Au: 0.2500 0.2500 0.2500  12 Re 3.03, 4 Mo 3.17


[5]
VASP calculation (PBE) on a relaxed ReMo2Au crystal.

ΔE_f: 26.3 kJ per mole of atoms
spin magnetization: 0.000 μB per atom
V: 16.26 Å³/atom
relative energy among the computed polymorphs: 0.0906 eV/atom

Cell lengths 2.8747, 3.9502, 5.7261 Å; angles 90.00, 90.00, 90.00 degrees
With the nearest neighbours (Å) after each atom.
Atoms (fractional coordinates):
Au: 0.5000 0.5000 0.7514  6 Mo 2.81-2.92, 2 Au 2.87, 4 Re 2.94
Mo: 0.0000 0.0000 0.0213  1 Re 2.55, 4 Mo 2.80
Mo: 0.5000 0.5000 0.2614  4 Re 2.71, 6 Mo 2.80-2.87, 2 Au 2.81-2.92
Re: 0.0000 0.0000 0.4659  5 Mo 2.55-2.71


[6]
VASP calculation (PBE) on a relaxed ReMoAu crystal.

ΔE_f: 28.0 kJ per mole of atoms
spin magnetization: 0.000 μB per atom
V: 15.99 Å³/atom
relative energy among the computed polymorphs: 0.0840 eV/atom

Cell lengths 4.9202, 4.9202, 4.9202 Å; angles 148.38, 129.16, 61.12 degrees
With the nearest neighbours (Å) after each atom.
Atoms (fractional coordinates):
Au: 0.9994 0.9994 0.0000  2 Au 2.68, 5 Mo 2.81-2.88, 5 Re 2.83-2.87
Mo: 0.6675 0.6675 0.0000  2 Mo 2.68, 5 Au 2.81-2.88, 5 Re 2.83-2.87
Re: 0.3331 0.3331 0.0000  2 Re 2.68, 5 Au 2.83-2.87, 5 Mo 2.83-2.87


[7]
VASP calculation (PBE) on a relaxed ReMo2Au crystal.

ΔE_f: 18.8 kJ per mole of atoms
spin magnetization: 0.000 μB per atom
V: 15.79 Å³/atom
relative energy among the computed polymorphs: 0.0128 eV/atom

Cell lengths 3.9881, 3.9885, 3.9707 Å; angles 90.00, 90.00, 90.00 degrees
With the nearest neighbours (Å) after each atom.
Atoms (fractional coordinates):
Au: 0.0000 0.5000 0.5000  8 Mo 2.81, 4 Re 2.82
Mo: 0.0000 0.0000 0.0000  4 Re 2.81, 4 Au 2.81, 4 Mo 2.82
Mo: 0.5000 0.5000 0.0000  4 Au 2.81, 4 Re 2.81, 4 Mo 2.82
Re: 0.5000 0.0000 0.5000  8 Mo 2.81, 4 Au 2.82


[8]
VASP calculation (PBE) on a relaxed ReMo2Au crystal.

ΔE_f: 42.4 kJ per mole of atoms
spin magnetization: 0.000 μB per atom
V: 16.19 Å³/atom
relative energy among the computed polymorphs: 0.2577 eV/atom

Cell lengths 4.5075, 4.5075, 4.5075 Å; angles 60.00, 60.00, 60.00 degrees
With the nearest neighbours (Å) after each atom.
Atoms (fractional coordinates):
Re: 0.0000 0.0000 0.0000  8 Mo 2.76
Mo: 0.2500 0.2500 0.2500  4 Re 2.76, 4 Au 2.76
Mo: 0.7500 0.7500 0.7500  4 Re 2.76, 4 Au 2.76
Au: 0.5000 0.5000 0.5000  8 Mo 2.76


[9]
VASP calculation (PBE) on a relaxed ReMoAu4 crystal.

ΔE_f: 83.7 kJ per mole of atoms
spin magnetization: 0.032 μB per atom
V: 18.05 Å³/atom

Cell lengths 5.3499, 5.3499, 5.3499 Å; angles 60.00, 60.00, 60.00 degrees
With the nearest neighbours (Å) after each atom.
Atoms (fractional coordinates):
Re: 0.0000 0.0000 0.0000  12 Au 3.14, 4 Mo 3.28
Mo: 0.7500 0.7500 0.7500  12 Au 3.14, 4 Re 3.28
Au: 0.8751 0.3750 0.3750  6 Au 2.67-2.68
Au: 0.3750 0.3750 0.8751  6 Au 2.67-2.68
Au: 0.3750 0.8751 0.3750  6 Au 2.67-2.68
Au: 0.3750 0.3750 0.3750  6 Au 2.67-2.68


[10]
VASP calculation (PBE) on a relaxed ReSi2MoAu crystal.

spin magnetization: 0.001 μB per atom
V: 20.49 Å³/atom
E_form (uncorrected): 200 kJ per mole of atoms

Cell lengths 4.4437, 5.1869, 4.4437 Å; angles 90.00, 90.00, 90.00 degrees
With the nearest neighbours (Å) after each atom.
Atoms (fractional coordinates):
Re: 0.5000 0.5000 0.5000  4 Mo 3.14, 8 Si 3.42
Mo: 0.0000 0.5000 0.0000  2 Au 2.59
Au: 0.0000 0.0000 0.0000  4 Si 2.22
Si: 0.0000 0.0000 0.5000  2 Au 2.22
Si: 0.5000 0.0000 0.0000  2 Au 2.22


What did the eighth record say?
VASP calculation (PBE) on a relaxed ReMo2Au crystal.

ΔE_f: 42.4 kJ per mole of atoms
spin magnetization: 0.000 μB per atom
V: 16.19 Å³/atom
relative energy among the computed polymorphs: 0.2577 eV/atom

Cell lengths 4.5075, 4.5075, 4.5075 Å; angles 60.00, 60.00, 60.00 degrees
With the nearest neighbours (Å) after each atom.
Atoms (fractional coordinates):
Re: 0.0000 0.0000 0.0000  8 Mo 2.76
Mo: 0.2500 0.2500 0.2500  4 Re 2.76, 4 Au 2.76
Mo: 0.7500 0.7500 0.7500  4 Re 2.76, 4 Au 2.76
Au: 0.5000 0.5000 0.5000  8 Mo 2.76


- Number 10 is which compound?
  ReSi2MoAu


What did the eighth record say?
VASP calculation (PBE) on a relaxed ReMo2Au crystal.

ΔE_f: 42.4 kJ per mole of atoms
spin magnetization: 0.000 μB per atom
V: 16.19 Å³/atom
relative energy among the computed polymorphs: 0.2577 eV/atom

Cell lengths 4.5075, 4.5075, 4.5075 Å; angles 60.00, 60.00, 60.00 degrees
With the nearest neighbours (Å) after each atom.
Atoms (fractional coordinates):
Re: 0.0000 0.0000 0.0000  8 Mo 2.76
Mo: 0.2500 0.2500 0.2500  4 Re 2.76, 4 Au 2.76
Mo: 0.7500 0.7500 0.7500  4 Re 2.76, 4 Au 2.76
Au: 0.5000 0.5000 0.5000  8 Mo 2.76